## K3Pm2HoO6 (GGA-PBE)

Data for a relaxed structure of K3Pm2HoO6.

Geometry as extended XYZ:
```
12
Lattice="6.171 -0.001 0.000 -3.085 5.344 0.000 -1.029 -1.781 6.287" Properties=species:S:1:pos:R:3 pbc="T T T"
O -1.000 1.732 1.182
O 2.086 3.611 1.180
O 2.000 0.000 1.182
O -0.029 -0.050 5.108
O 3.057 1.830 5.106
O 0.057 3.562 5.106
K -2.072 3.571 3.144
K 1.028 1.781 3.144
K 4.129 -0.010 3.144
Ho 0.000 0.000 0.000
Pm 3.086 1.780 0.000
Pm 0.000 3.563 0.000
```

calculated total energy	-6.61	eV/atom